Here is an optimized crystal structure of Te2PbAuN from Alexandria via LeMat-Bulk. Energies are from PBE-GGA.

Values from the calculation:
- Formation energy (no corrections): 0.67 eV per atom
- SG: P4/mmm (123)
- Calculated density: 8.4 g/cm3
- Spin magnetization: 1.6 μB per formula unit
- Energy above the lowest structure with this stoichiometry: 0.0 meV per atom

Cell: 5.796 5.796 3.944 Å, 90.00 90.00 90.00°
Fractional positions:
Te1 0.000 0.500 0.000
Te2 0.500 0.000 0.000
Pb1 0.000 0.000 0.500
Au1 0.500 0.500 0.000
N1 0.500 0.500 0.500

Here is an optimized crystal structure of Zr2Sb2P from Alexandria via LeMat-Bulk. Energies are from PBE-GGA.

Values from the calculation:
- Formation energy (no corrections): -0.56 eV per atom
- SG: P4/mbm (127)
- Calculated density: 6.8 g/cm3
- Spin magnetization: 0.0 μB per formula unit
- Energy above the lowest structure with this stoichiometry: 0.0 meV per atom

Cell: 7.332 7.332 4.164 Å, 90.00 90.00 90.00°
Fractional positions:
Zr1 0.161 0.339 0.000
Zr2 0.339 0.839 0.000
Zr3 0.661 0.161 0.000
Zr4 0.839 0.661 0.000
Sb1 0.144 0.644 0.500
Sb2 0.356 0.144 0.500
Sb3 0.644 0.856 0.500
Sb4 0.856 0.356 0.500
P1 0.000 0.000 0.000
P2 0.500 0.500 0.000

Here is an optimized crystal structure of NaAsRhAu from Alexandria via LeMat-Bulk. Energies are from PBE-GGA.

Values from the calculation:
- SG: P4/nmm (129)
- E_form: -9.82 kcal/mol of atoms
- Calculated density: 8.1 g/cm3
- Spin magnetization: 0.0 μB per formula unit

Cell: 3.984 3.984 10.273 Å, 90.00 90.00 90.00°
Fractional positions:
Na1 0.250 0.250 0.228
Na2 0.750 0.750 0.772
As1 0.250 0.250 0.640
As2 0.750 0.750 0.360
Rh1 0.250 0.750 0.500
Rh2 0.750 0.250 0.500
Au1 0.250 0.750 0.000
Au2 0.750 0.250 0.000

Here is an optimized crystal structure of ZnGeS2 from Alexandria via LeMat-Bulk. Energies are from PBE-GGA.

Values from the calculation:
- Formation energy (no corrections): -0.20 eV per atom
- SG: R-3m (166)
- Calculated density: 3.3 g/cm3
- Spin magnetization: 0.0 μB per formula unit

Cell: 7.377 7.377 7.377 Å, 32.43 32.43 32.43°
Fractional positions:
Zn1 0.000 0.000 0.000
Ge1 0.500 0.500 0.500
S1 0.102 0.102 0.102
S2 0.898 0.898 0.898

Here is an optimized crystal structure of Sm8Pt2Rh from Alexandria via LeMat-Bulk. Energies are from PBE-GGA.

Values from the calculation:
- SG: Cm (8)
- E_form: -11.34 kcal/mol of atoms
- Calculated density: 8.8 g/cm3
- Spin magnetization: 0.0 μB per formula unit
- Energy above the lowest structure with this stoichiometry: 83.6 meV per atom

Cell: 7.658 7.658 6.281 Å, 101.13 101.13 112.27°
Fractional positions:
Sm1 0.000 0.000 0.000
Sm2 0.014 0.274 0.559
Sm3 0.150 0.560 0.182
Sm4 0.274 0.014 0.559
Sm5 0.437 0.698 0.788
Sm6 0.560 0.150 0.182
Sm7 0.698 0.437 0.788
Sm8 0.714 0.714 0.368
Pt1 0.044 0.673 0.684
Pt2 0.673 0.044 0.684
Rh1 0.363 0.363 0.366

Here is an optimized crystal structure of CaLaPr5 from Alexandria via LeMat-Bulk. Energies are from PBE-GGA.

Values from the calculation:
- SG: P4/mmm (123)
- E_form: 6.79 kcal/mol of atoms
- Calculated density: 5.3 g/cm3
- Spin magnetization: 0.0 μB per formula unit

Cell: 5.047 5.047 10.797 Å, 90.00 90.00 90.00°
Fractional positions:
Ca1 0.000 0.000 0.000
La1 0.000 0.000 0.500
Pr1 0.000 0.500 0.254
Pr2 0.000 0.500 0.746
Pr3 0.500 0.000 0.254
Pr4 0.500 0.000 0.746
Pr5 0.500 0.500 0.000

So what do the calculations give for final energy? Going down the list: -18.23; -67.08; -36.60; -14.94; -62.59; -28.77 eV for the cell shown.